# 1
## As2PRu (PBE-GGA)

Data for a relaxed structure of As2PRu.

density	7.35	g/cm3
magnetization	0.00	μB per cell
crystal system	tetragonal
raw total energy	-22.97	eV/f.u.
symmetry	P4/mmm (123)

Structure (POSCAR):
```
As2PRu
1.0
3.026 0.000 0.000
0.000 3.026 0.000
0.000 0.000 6.957
As Ru P
2 1 1
direct
0.000 0.000 0.523
0.000 0.000 0.977
0.500 0.500 0.750
0.500 0.500 0.250
```

***

# 2
## As2PRu (PBE-GGA)

Data for a relaxed structure of As2PRu.

density	7.20	g/cm3
magnetization	0.00	μB per cell
crystal system	tetragonal
raw total energy	-21.89	eV/f.u.
symmetry	P4/mmm (123)

Structure (POSCAR):
```
As2PRu
1.0
4.689 0.000 0.000
0.000 3.723 0.000
0.000 0.000 3.723
P Ru As
1 1 2
direct
0.500 0.500 0.000
0.500 0.000 0.500
0.000 0.500 0.500
0.000 0.000 0.000
```

***

# 3
## AsPRu4 (PBE-GGA)

Data for a relaxed structure of AsPRu4.

density	8.95	g/cm3
magnetization	1.57	μB per cell
crystal system	cubic
raw total energy	-42.33	eV/f.u.
symmetry	F-43m (216)

Structure (POSCAR):
```
AsPRu4
1.0
0.246 -4.325 2.723
-2.907 -4.006 -1.294
2.154 -4.177 -2.022
Ru P As
4 1 1
direct
0.375 0.875 0.375
0.375 0.375 0.875
0.375 0.375 0.375
0.875 0.375 0.375
0.000 0.000 0.000
0.750 0.750 0.750
```

***

# 4
## AsP3Ru (PBE-GGA)

Data for a relaxed structure of AsP3Ru.

density	4.68	g/cm3
energy above the lowest structure with this stoichiometry	0	meV per atom
magnetization	0.00	μB per cell
crystal system	cubic
raw total energy	-26.72	eV/f.u.
symmetry	Pm-3m (221)

Structure (POSCAR):
```
AsP3Ru
1.0
-4.222 1.416 1.025
-1.630 -2.223 -3.644
-0.631 -3.732 2.559
P As Ru
3 1 1
direct
0.500 0.000 0.000
0.000 0.000 0.500
0.000 0.500 0.000
0.500 0.500 0.500
0.000 0.000 0.000
```

***

# 5
## As2PRu (PBE-GGA)

Data for a relaxed structure of As2PRu.

density	7.42	g/cm3
magnetization	0.00	μB per cell
crystal system	orthorhombic
raw total energy	-22.36	eV/f.u.
symmetry	Cmmm (65)

Structure (POSCAR):
```
As2PRu
1.0
4.576 -0.017 0.000
-1.200 4.416 0.000
0.000 0.000 3.125
P As Ru
1 2 1
direct
0.500 0.000 0.500
0.000 0.000 0.000
0.500 0.500 0.000
0.000 0.500 0.500
```

***

# 6
## As2P2Ru (PBE-GGA)

Data for a relaxed structure of As2P2Ru.

density	5.96	g/cm3
energy above the lowest structure with this stoichiometry	259	meV per atom
magnetization	0.00	μB per cell
crystal system	tetragonal
raw total energy	-26.92	eV/f.u.
symmetry	P4/mbm (127)

Structure (POSCAR):
```
As2P2Ru
1.0
-5.596 1.883 -3.889
-2.071 -6.754 -0.290
-1.870 0.448 2.907
P As Ru
4 4 2
direct
0.312 0.188 0.500
0.688 0.812 0.500
0.188 0.688 0.500
0.812 0.312 0.500
0.657 0.157 0.000
0.343 0.843 0.000
0.157 0.343 0.000
0.843 0.657 0.000
0.000 0.000 0.000
0.500 0.500 0.000
```

***

# 7
## AsPRu (PBE-GGA)

Data for a relaxed structure of AsPRu.

density	7.17	g/cm3
energy above the lowest structure with this stoichiometry	0	meV per atom
magnetization	0.00	μB per cell
crystal system	monoclinic
raw total energy	-20.72	eV/f.u.
symmetry	P2/m (10)

Structure (POSCAR):
```
AsPRu
1.0
2.961 0.000 0.000
0.000 5.317 -0.001
0.000 0.204 6.090
Ru As P
2 2 2
direct
0.500 0.500 0.500
0.000 0.000 0.000
0.500 0.329 0.137
0.500 0.671 0.863
0.000 0.837 0.373
0.000 0.163 0.627
```

***

# 8
## As4PRu (PBE-GGA)

Data for a relaxed structure of As4PRu.

density	6.48	g/cm3
magnetization	0.52	μB per cell
crystal system	cubic
raw total energy	-27.42	eV/f.u.
symmetry	F-43m (216)

Structure (POSCAR):
```
As4PRu
1.0
4.716 -1.847 1.839
1.475 0.974 5.090
0.105 -4.017 3.590
As Ru P
4 1 1
direct
0.624 0.624 0.624
0.129 0.624 0.624
0.624 0.624 0.129
0.624 0.129 0.624
0.000 0.000 0.000
0.250 0.250 0.250
```

***

Number 1: formation energy from the elements 1.014 eV/f.u.. Number 2: formation energy from the elements 2.090 eV/f.u.. Number 3: formation energy from the elements 4.832 eV/f.u.. Number 4: formation energy from the elements 3.431 eV/f.u.. Number 5: formation energy from the elements 1.630 eV/f.u.. Number 6: formation energy from the elements 2.480 eV/f.u.. Number 7: formation energy from the elements -1.384 eV/f.u.. Number 8: formation energy from the elements 5.864 eV/f.u..